Record 1
NaZr3Ge5: optimized geometry, PBE.

As for the volume: 23.16 Å³/atom. Its total energy is -5.71 eV per atom.

The structure belongs to space group P6/mmm (No. 191); the cell edges are 5.9207, 5.9207 and 6.8656 Å and the angles 90.00°, 90.00° and 120.00°. The inequivalent atoms are Na at (0.0000, 0.0000, 0.0000), Zr at (0.0000, 0.5000, 0.5000), Ge at (0.0000, 0.0000, 0.5000) and Ge at (0.3333, 0.6667, 0.1748).

Record 2
Er2Tl8Co: optimized geometry, PBE.

As for the volume: 25.53 Å³/atom. Its total energy is -3.23 eV per atom.

The structure belongs to space group P4/mmm (No. 123); the cell edges are 4.729, 4.729 and 12.555 Å and the angles 90.00°, 90.00° and 90.00°. The inequivalent atoms are Er at (0.000, 0.000, 0.198), Tl at (0.000, 0.500, 0.000), Tl at (0.000, 0.500, 0.379), Tl at (0.500, 0.500, 0.188) and Co at (0.000, 0.000, 0.500).

Record 3
NbCoB2: optimized geometry, PBE.

As for the volume: 9.66 Å³/atom. Its total energy is -8.25 eV per atom. The energy above the lowest structure with this stoichiometry is 0.0000 eV per atom.

The structure belongs to space group Pnma (No. 62); the cell edges are 5.970, 3.157 and 8.201 Å and the angles 90.00°, 90.00° and 90.00°. The inequivalent atoms are Nb at (0.136, 0.250, 0.132), Co at (0.009, 0.750, 0.387), B at (0.165, 0.250, 0.829) and B at (0.233, 0.250, 0.423).

Record 4
SmSb2Au: optimized geometry, PBE.

As for the volume: 24.86 Å³/atom. Its total energy is -4.75 eV per atom.

The structure belongs to space group P4/nmm (No. 129, origin choice 2); the cell edges are 4.422, 4.422 and 10.172 Å and the angles 90.00°, 90.00° and 90.00°. The inequivalent atoms are Sm at (0.250, 0.250, 0.246), Sb at (0.250, 0.250, 0.684), Sb at (0.250, 0.750, 0.000) and Au at (0.250, 0.750, 0.500).

Record 5
YThBe: optimized geometry, PBE.

As for the volume: 26.18 Å³/atom. Its total energy is -5.54 eV per atom. The energy above the lowest structure with this stoichiometry is 0.0000 eV per atom.

The structure belongs to space group F-43m (No. 216); the cell edges are 6.798, 6.798 and 6.798 Å and the angles 90.00°, 90.00° and 90.00°. The inequivalent atoms are Y at (0.000, 0.000, 0.000), Th at (0.000, 0.000, 0.500) and Be at (0.250, 0.250, 0.750).

Record 6
SrDyCu2Sb2: optimized geometry, PBE.

As for the volume: 24.05 Å³/atom. Its total energy is -4.35 eV per atom.

The structure belongs to space group P3m1 (No. 156); the cell edges are 4.4481, 4.4481 and 8.4199 Å and the angles 90.00°, 90.00° and 120.00°. The inequivalent atoms are Sr at (0.0000, 0.0000, 0.0000), Dy at (0.0000, 0.0000, 0.5001), Cu at (0.3333, 0.6667, 0.3009), Cu at (0.6667, 0.3333, 0.7019), Sb at (0.3333, 0.6667, 0.7367) and Sb at (0.6667, 0.3333, 0.2629).

Record 7
Lu2ZnIr: optimized geometry, PBE.

The energy of formation is -0.448 eV per atom. As for the volume: 24.02 Å³/atom. Its total energy is -5.24 eV per atom. The energy above the lowest structure with this stoichiometry is 0.0261 eV per atom.

The structure belongs to space group P6_3/mmc (No. 194); the cell edges are 3.9918, 3.9918 and 13.9258 Å and the angles 90.00°, 90.00° and 120.00°. The inequivalent atoms are Lu at (0.3333, 0.6667, 0.1035), Zn at (0.3333, 0.6667, 0.7500) and Ir at (0.0000, 0.0000, 0.0000).

Record 8
BiOsO4: optimized geometry, PBE.

As for the volume: 12.55 Å³/atom. Its total energy is -6.91 eV per atom. The energy above the lowest structure with this stoichiometry is 0.0260 eV per atom.

The structure belongs to space group C2/c (No. 15); the cell edges are 12.013, 4.850 and 5.389 Å and the angles 90.00°, 106.44° and 90.00°. The inequivalent atoms are Bi at (0.000, 0.249, 0.250), Os at (0.250, 0.250, 0.000), O at (0.096, 0.404, 0.963) and O at (0.193, 0.050, 0.679).